Run w
A plane-wave DFT calculation with PBE was carried out for BaSrInAu after structural relaxation.

Summary:
symmetry: F-43m (216)

Cell: 5.4872 5.4872 5.4872 Å, 60.00 60.00 60.00°
Fractional coordinates of all 4 atoms:
Ba 0.0000 0.0000 0.0000
Sr 0.2500 0.2500 0.2500
In 0.5000 0.5000 0.5000
Au 0.7500 0.7500 0.7500

***

Run x
A plane-wave DFT calculation with PBE was carried out for BaSrInAu after structural relaxation.

Summary:
symmetry: F-43m (216)

Cell: 5.7295 5.7295 5.7295 Å, 60.00 60.00 60.00°
Fractional coordinates of all 4 atoms:
Ba 0.0000 0.0000 0.0000
Sr 0.5000 0.5000 0.5000
In 0.7500 0.7500 0.7500
Au 0.2500 0.2500 0.2500

***

Of them, run x has the highest stability.

***

Run w
A plane-wave DFT calculation with PBE was carried out for BaIrWAu after structural relaxation.

Summary:
size of the total moment: 0.010 μB/cell
symmetry: F-43m (216)

Cell: 4.8516 4.8516 4.8516 Å, 60.00 60.00 60.00°
Fractional coordinates of all 4 atoms:
Ba 0.0000 0.0000 0.0000
Ir 0.5000 0.5000 0.5000
W 0.2500 0.2500 0.2500
Au 0.7500 0.7500 0.7500

***

Run x
A plane-wave DFT calculation with PBE was carried out for BaIrWAu after structural relaxation.

Summary:
size of the total moment: 0.062 μB/cell
symmetry: F-43m (216)

Cell: 4.8210 4.8210 4.8210 Å, 60.00 60.00 60.00°
Fractional coordinates of all 4 atoms:
Ba 0.0000 0.0000 0.0000
Ir 0.2500 0.2500 0.2500
W 0.7500 0.7500 0.7500
Au 0.5000 0.5000 0.5000

***

Run y
A plane-wave DFT calculation with PBE was carried out for BaIrWAu after structural relaxation.

Summary:
size of the total moment: 1.818 μB/cell
symmetry: F-43m (216)

Cell: 4.9713 4.9713 4.9713 Å, 60.00 60.00 60.00°
Fractional coordinates of all 4 atoms:
Ba 0.0000 0.0000 0.0000
Ir 0.7500 0.7500 0.7500
W 0.5000 0.5000 0.5000
Au 0.2500 0.2500 0.2500

***

Of them, run w has the highest stability.

***

Run w
A plane-wave DFT calculation with PBE was carried out for BaLiPbAu after structural relaxation.

Summary:
symmetry: F-43m (216)

Cell: 5.3381 5.3381 5.3381 Å, 60.00 60.00 60.00°
Fractional coordinates of all 4 atoms:
Ba 0.0000 0.0000 0.0000
Li 0.7500 0.7500 0.7500
Pb 0.2500 0.2500 0.2500
Au 0.5000 0.5000 0.5000

***

Run x
A plane-wave DFT calculation with PBE was carried out for BaLiPbAu after structural relaxation.

Summary:
symmetry: F-43m (216)

Cell: 5.3218 5.3218 5.3218 Å, 60.00 60.00 60.00°
Fractional coordinates of all 4 atoms:
Ba 0.0000 0.0000 0.0000
Li 0.2500 0.2500 0.2500
Pb 0.5000 0.5000 0.5000
Au 0.7500 0.7500 0.7500

***

Of them, run x has the highest stability.